1.
# In2GeS

Crystalline In2GeS at its relaxed geometry (PBE, the Alexandria database).

The space group is R3m (No. 160, hexagonal axes) and the conventional cell measures 3.7859, 3.7859 and 22.7442 Å, with angles of 90.00, 90.00 and 120.00 degrees. Symmetry generates all atoms from In at (0.0000, 0.0000, 0.0000), In at (0.0000, 0.0000, 0.1612), Ge at (0.0000, 0.0000, 0.5815) and S at (0.0000, 0.0000, 0.4081).

As for the uncorrected formation energy: -20 kJ/mol of formula units. The calculation puts the excess energy over the best structure of this formula in the dataset at 164 meV/atom.

***

2.
# In2GeS

Crystalline In2GeS at its relaxed geometry (PBE, the Alexandria database).

The space group is R-3m (No. 166, hexagonal axes) and the conventional cell measures 4.2579, 4.2579 and 22.9680 Å, with angles of 90.00, 90.00 and 120.00 degrees. Symmetry generates all atoms from In at (0.0000, 0.0000, 0.1042), Ge at (0.0000, 0.0000, 0.5000) and S at (0.0000, 0.0000, 0.0000).

As for the uncorrected formation energy: 50 kJ/mol of formula units. The calculation puts the excess energy over the best structure of this formula in the dataset at 345 meV/atom.